The following is a DFT calculation (PBE) of crystalline Li3Cu4Rh at its relaxed geometry.

Lattice parameters (Å, degrees): 17.478 2.502 4.855 90.00 103.81 90.00
Space group C2/m (No. 12)
Asymmetric unit:
Li 0.000 0.000 0.000 x2
Li 0.130 0.000 0.873 x4
Cu 0.124 0.000 0.381 x4
Cu 0.239 0.500 0.252 x4
Rh 0.000 0.500 0.500 x2

Values from the calculation:
Its formation energy is -0.602 kcal/mol of atoms. The calculation puts the calculated volume at 12.88 Å³ per atom. The value obtained for the energy above the most stable polymorph in this dataset is 0 meV/atom.

***

The following is a DFT calculation (PBE) of crystalline NdY6Pd3 at its relaxed geometry.

Lattice parameters (Å, degrees): 11.456 13.280 7.288 90.00 90.00 90.00
Space group Cmc2_1 (No. 36)
Asymmetric unit:
Nd 0.000 0.184 0.000 x4
Y 0.000 0.269 0.522 x4
Y 0.000 0.468 0.878 x4
Y 0.170 0.040 0.372 x8
Y 0.227 0.308 0.220 x8
Pd 0.000 0.074 0.663 x4
Pd 0.188 0.398 0.586 x8

Values from the calculation:
Its formation energy is -11.425 kcal/mol of atoms. The calculation puts the calculated volume at 27.72 Å³ per atom.

***

Respective total magnetic moment values: 0.136; 0.000 μB per cell.
Respective Fermi-level density of states values: 6.472; 45.863 states/eV per cell.
Respective E_tot values: -3.711; -6.409 eV per atom.